Computed, not measured: YMoW4 after structural relaxation at the PBE level of DFT.

As for the total magnetization: 0.0 μB/f.u. The value obtained for the energy relative to the elements is 0.251 eV per atom. The calculation puts the density of states at the Fermi level at 0.622 states/eV per atom.

It has space group F-43m (No. 216), with a = 7.619 Å, b = 7.619 Å, c = 7.619 Å, α = 90.00°, β = 90.00° and γ = 90.00°. The distinct sites, in fractional coordinates, are Y at (0.000, 0.000, 0.000), Mo at (0.250, 0.250, 0.750) and W at (0.125, 0.125, 0.375).